No. 1
The following is a GGA-PBE calculation of a relaxed structure of Ce4Rh, from Alexandria via LeMat-Bulk.

Properties
**Space group**: Fdd2, No. 43

a b c (Å): 6.9826 6.9826 6.9798
angles (deg): 104.19 104.19 120.67
Element x y z (fractional)
Ce: 0.7037 0.5200 0.7856
Ce: 0.7344 0.9182 0.2145
Ce: 0.7425 0.9559 0.8150
Ce: 0.1409 0.9275 0.1850
Ce: 0.2059 0.4925 0.3150
Ce: 0.1776 0.8909 0.6850
Ce: 0.1682 0.4844 0.7144
Ce: 0.7700 0.4537 0.2855
Rh: 0.3304 0.3304 0.0000
Rh: 0.5804 0.0804 0.5000


No. 2
The following is a GGA-PBE calculation of a relaxed structure of Dy3PaSe6, from Alexandria via LeMat-Bulk.

Properties
**Formation energy without anion corrections**: -1.59 eV/atom
**Space group**: Cmc2_1, No. 36

a b c (Å): 7.1147 8.8916 8.8916
angles (deg): 102.32 90.00 90.00
Site moments in Bohr magnetons follow the coordinates.
Element x y z (fractional)
Dy: 0.4823 0.9130 0.7090  0.09
Dy: 0.9823 0.7090 0.9130  0.09
Dy: 0.3785 0.4061 0.5939  0.02
Dy: 0.8785 0.5939 0.4061  0.02
Dy: 0.9823 0.0870 0.2910  0.09
Dy: 0.4823 0.2910 0.0870  0.09
Pa: 0.9966 0.1649 0.8351  1.44
Pa: 0.4966 0.8351 0.1649  1.44
Se: 0.1749 0.6986 0.6295  0.00
Se: 0.6749 0.6295 0.6986  0.00
Se: 0.2075 0.4382 0.9014  -0.01
Se: 0.7075 0.9014 0.4382  -0.01
Se: 0.2584 0.0085 0.9915  -0.02
Se: 0.6225 0.2295 0.7705  -0.02
Se: 0.1225 0.7705 0.2295  -0.02
Se: 0.7584 0.9915 0.0085  -0.02
Se: 0.2075 0.0986 0.5618  -0.01
Se: 0.7075 0.5618 0.0986  -0.01
Se: 0.1749 0.3705 0.3014  0.00
Se: 0.6749 0.3014 0.3705  0.00


| no. | excess energy over the best structure of this formula in the dataset (meV/atom) |
| --- | --- |
| 1 | 0 |
| 2 | 133 |